Entry 1:
Compound: Nd5SmHg4
Source: Alexandria via LeMat-Bulk
Functional: GGA-PBE
Structure: relaxed

## Properties
VASP energy	-33.46	eV for the cell shown
formation energy from the elements	-0.3691	eV per atom

Cell lengths 3.8037, 3.8037, 20.4511 Å; angles 90.00, 90.00, 90.00 degrees
With the nearest neighbours (Å) after each atom.
Space group P4/mmm (No. 123)
Symmetry-distinct sites (fractional):
Nd: 0.0000 0.0000 0.0000 (multiplicity 1)  8 Hg 3.32
Nd: 0.0000 0.0000 0.1887 (multiplicity 2)  8 Hg 3.31-3.35
Nd: 0.0000 0.0000 0.3791 (multiplicity 2)  4 Hg 3.29, 4 Sm 3.65
Sm: 0.5000 0.5000 0.5000 (multiplicity 1)  8 Nd 3.65, 4 Sm 3.80
Hg: 0.5000 0.5000 0.0948 (multiplicity 2)  8 Nd 3.31-3.32
Hg: 0.5000 0.5000 0.2867 (multiplicity 2)  8 Nd 3.29-3.35

Entry 2:
Compound: Be9Cr2Mo
Source: Alexandria via LeMat-Bulk
Functional: GGA-PBE
Structure: relaxed

## Properties
VASP energy	-198.01	eV for the cell shown
formation energy from the elements	-0.1992	eV per atom

Cell lengths 4.2638, 4.2638, 20.2924 Å; angles 90.00, 90.00, 120.00 degrees
With the nearest neighbours (Å) after each atom.
Space group R-3m (No. 166, hexagonal axes)
Symmetry-distinct sites (fractional):
Be: 0.0000 0.0000 0.0000 (multiplicity 3)  6 Be 2.10
Be: 0.0000 0.0000 0.1659 (multiplicity 6)  6 Be 2.09-2.10
Be: 0.0042 0.5021 0.4163 (multiplicity 18)  7 Be 2.09-2.16
Cr: 0.0000 0.0000 0.3535 (multiplicity 6)  12 Be 2.42-2.50, 3 Cr 2.59
Mo: 0.0000 0.0000 0.5000 (multiplicity 3)  18 Be 2.46-2.73

Entry 3:
Compound: Ce3SmTm2Se6
Source: Alexandria via LeMat-Bulk
Functional: GGA-PBE
Structure: relaxed

## Properties
VASP energy	-147.46	eV for the cell shown

Cell lengths 7.1129, 12.3308, 7.2506 Å; angles 90.00, 109.12, 90.00 degrees
With the nearest neighbours (Å) after each atom.
Space group C2/m (No. 12)
Symmetry-distinct sites (fractional):
Ce: 0.0000 0.0000 0.0000 (multiplicity 2)  6 Se 2.94-3.00
Ce: 0.0000 0.3376 0.0000 (multiplicity 4)  6 Se 2.96-3.00
Sm: 0.0000 0.5000 0.5000 (multiplicity 2)  6 Se 2.92-2.93
Tm: 0.0000 0.1672 0.5000 (multiplicity 4)  6 Se 2.84-2.85
Se: 0.2357 0.0000 0.7341 (multiplicity 4)  2 Tm 2.84, 1 Sm 2.92, 3 Ce 2.94-2.98
Se: 0.2494 0.1710 0.2615 (multiplicity 8)  2 Tm 2.85, 1 Sm 2.93, 3 Ce 2.96-3.00

Entry 4:
Compound: SrHg3C
Source: Alexandria via LeMat-Bulk
Functional: GGA-PBE
Structure: relaxed

## Properties
VASP energy	-4.44	eV for the cell shown
formation energy from the elements	1.4752	eV per atom

Cell lengths 6.5468, 6.5468, 6.5468 Å; angles 90.00, 90.00, 90.00 degrees
With the nearest neighbours (Å) after each atom.
Space group Pm-3m (No. 221)
Symmetry-distinct sites (fractional):
Sr: 0.0000 0.0000 0.0000 (multiplicity 1)  6 Hg 3.27
Hg: 0.0000 0.0000 0.5000 (multiplicity 3)  2 Sr 3.27
C: 0.5000 0.5000 0.5000 (multiplicity 1)  12 Hg 4.63

Entry 5:
Compound: ZnIn2W
Source: Alexandria via LeMat-Bulk
Functional: GGA-PBE
Structure: relaxed

## Properties
VASP energy	-65.10	eV for the cell shown
formation energy from the elements	0.8576	eV per atom

Cell lengths 7.5194, 7.5194, 5.6797 Å; angles 90.00, 90.00, 90.00 degrees
With the nearest neighbours (Å) after each atom.
Space group I-42d (No. 122)
Symmetry-distinct sites (fractional):
Zn: 0.0000 0.0000 0.0000 (multiplicity 4)  4 In 2.66, 2 W 2.84
In: 0.2320 0.2500 0.1250 (multiplicity 8)  2 Zn 2.66, 2 W 2.85, 2 In 2.85
W: 0.0000 0.0000 0.5000 (multiplicity 4)  2 Zn 2.84, 4 In 2.85

Entry 6:
Compound: Na2CaMg2
Source: Alexandria via LeMat-Bulk
Functional: GGA-PBE
Structure: relaxed

## Properties
VASP energy	-14.54	eV for the cell shown
formation energy from the elements	0.1122	eV per atom

Cell lengths 9.2879, 9.2879, 3.5727 Å; angles 90.00, 90.00, 90.00 degrees
With the nearest neighbours (Å) after each atom.
Space group P4/mbm (No. 127)
Symmetry-distinct sites (fractional):
Na: 0.1215 0.3785 0.0000 (multiplicity 4)  6 Mg 3.18-3.35, 1 Na 3.19
Ca: 0.0000 0.0000 0.0000 (multiplicity 2)  2 Ca 3.57, 4 Na 3.69, 8 Mg 3.85
Mg: 0.1784 0.6784 0.5000 (multiplicity 4)  6 Na 3.18-3.35

Entry 7:
Compound: Cd2GaMoPb
Source: Alexandria via LeMat-Bulk
Functional: GGA-PBE
Structure: relaxed

## Properties
VASP energy	-13.27	eV for the cell shown
formation energy from the elements	1.2262	eV per atom

Cell lengths 5.6024, 5.6024, 5.4784 Å; angles 90.00, 90.00, 90.00 degrees
With the nearest neighbours (Å) after each atom.
Space group P4/mmm (No. 123)
Symmetry-distinct sites (fractional):
Cd: 0.0000 0.5000 0.0000 (multiplicity 2)  2 Pb 2.80
Ga: 0.0000 0.0000 0.5000 (multiplicity 1)  8 Cd 3.92, 4 Mo 3.96
Mo: 0.5000 0.5000 0.5000 (multiplicity 1)  2 Pb 2.74
Pb: 0.5000 0.5000 0.0000 (multiplicity 1)  2 Mo 2.74, 4 Cd 2.80

Entry 8:
Compound: GdBC
Source: Alexandria via LeMat-Bulk
Functional: GGA-PBE
Structure: relaxed

## Properties
VASP energy	-59.43	eV for the cell shown
formation energy from the elements	0.0889	eV per atom

Cell lengths 3.8109, 3.8109, 6.5369 Å; angles 90.00, 90.00, 90.00 degrees
With the nearest neighbours (Å) after each atom.
Space group I4mm (No. 107)
Symmetry-distinct sites (fractional):
Gd: 0.0000 0.0000 0.0000 (multiplicity 2)  1 C 2.49, 5 B 2.65-2.77
B: 0.0000 0.0000 0.5948 (multiplicity 2)  1 C 1.40
C: 0.0000 0.0000 0.3811 (multiplicity 2)  1 B 1.40

Entry 9:
Compound: DyAg2Hg4
Source: Alexandria via LeMat-Bulk
Functional: GGA-PBE
Structure: relaxed

## Properties
VASP energy	-12.62	eV for the cell shown
formation energy from the elements	-0.1588	eV per atom

Cell lengths 4.8990, 4.8990, 6.9907 Å; angles 90.00, 90.00, 90.00 degrees
With the nearest neighbours (Å) after each atom.
Space group P4/mmm (No. 123)
Symmetry-distinct sites (fractional):
Dy: 0.0000 0.0000 0.0000 (multiplicity 1)  8 Hg 3.11, 4 Ag 3.46
Ag: 0.0000 0.0000 0.5000 (multiplicity 1)  8 Hg 2.91
Ag: 0.5000 0.5000 0.0000 (multiplicity 1)  8 Hg 3.11, 4 Dy 3.46
Hg: 0.0000 0.5000 0.2746 (multiplicity 4)  4 Ag 2.91-3.11, 2 Dy 3.11, 1 Hg 3.15

Entry 10:
Compound: Be24Re5
Source: Alexandria via LeMat-Bulk
Functional: GGA-PBE
Structure: relaxed

## Properties
VASP energy	-312.80	eV for the cell shown
formation energy from the elements	-0.1632	eV per atom

Cell lengths 8.1496, 8.1496, 8.1496 Å; angles 90.00, 90.00, 90.00 degrees
With the nearest neighbours (Å) after each atom.
Space group I-43m (No. 217)
Symmetry-distinct sites (fractional):
Be: 0.0298 0.3471 0.3471 (multiplicity 24)  7 Be 2.16-2.39, 1 Re 2.32
Be: 0.0920 0.0920 0.2796 (multiplicity 24)  6 Be 2.12-2.21
Re: 0.0000 0.0000 0.0000 (multiplicity 2)  12 Be 2.51, 4 Re 2.70
Re: 0.1910 0.1910 0.8090 (multiplicity 8)  15 Be 2.32-2.55

Entry 11:
Compound: La2TlMo
Source: Alexandria via LeMat-Bulk
Functional: GGA-PBE
Structure: relaxed

## Properties
VASP energy	-87.15	eV for the cell shown
formation energy from the elements	0.3161	eV per atom

Cell lengths 7.4239, 7.4239, 7.4239 Å; angles 90.00, 90.00, 90.00 degrees
With the nearest neighbours (Å) after each atom.
Space group F-43m (No. 216)
Symmetry-distinct sites (fractional):
La: 0.0000 0.0000 0.0000 (multiplicity 4)  4 Mo 3.21, 4 La 3.21
La: 0.2500 0.2500 0.2500 (multiplicity 4)  4 La 3.21, 4 Tl 3.21
Tl: 0.0000 0.0000 0.5000 (multiplicity 4)  4 La 3.21, 4 Mo 3.21
Mo: 0.2500 0.2500 0.7500 (multiplicity 4)  4 Tl 3.21, 4 La 3.21

Entry 12:
Compound: CoCu2Si
Source: Alexandria via LeMat-Bulk
Functional: GGA-PBE
Structure: relaxed

## Properties
VASP energy	-60.85	eV for the cell shown

Cell lengths 2.5957, 2.5957, 24.7107 Å; angles 90.00, 90.00, 120.00 degrees
With the nearest neighbours (Å) after each atom.
Space group R-3m (No. 166, hexagonal axes)
Symmetry-distinct sites (fractional):
Co: 0.0000 0.0000 0.0000 (multiplicity 3)  6 Cu 2.57, 6 Co 2.60
Cu: 0.0000 0.0000 0.2489 (multiplicity 6)  3 Si 2.52, 3 Co 2.57, 6 Cu 2.60
Si: 0.0000 0.0000 0.5000 (multiplicity 3)  6 Cu 2.52, 6 Si 2.60

Entry 13:
Compound: HfSbPd3
Source: Alexandria via LeMat-Bulk
Functional: GGA-PBE
Structure: relaxed

## Properties
VASP energy	-27.69	eV for the cell shown

Cell lengths 4.8349, 4.8349, 4.8349 Å; angles 90.00, 90.00, 90.00 degrees
With the nearest neighbours (Å) after each atom.
Space group Pm-3m (No. 221)
Symmetry-distinct sites (fractional):
Hf: 0.0000 0.0000 0.0000 (multiplicity 1)  12 Pd 3.42
Sb: 0.5000 0.5000 0.5000 (multiplicity 1)  6 Pd 2.42
Pd: 0.0000 0.5000 0.5000 (multiplicity 3)  2 Sb 2.42

Entry 14:
Compound: Dy4Ru3Pt
Source: Alexandria via LeMat-Bulk
Functional: GGA-PBE
Structure: relaxed

## Properties
VASP energy	-56.86	eV for the cell shown
formation energy from the elements	-0.5727	eV per atom

Cell lengths 4.8409, 4.8409, 6.8167 Å; angles 90.00, 90.00, 90.00 degrees
With the nearest neighbours (Å) after each atom.
Space group P4/mmm (No. 123)
Symmetry-distinct sites (fractional):
Dy: 0.0000 0.5000 0.2453 (multiplicity 4)  6 Ru 2.94-2.98, 2 Pt 2.98
Ru: 0.0000 0.0000 0.0000 (multiplicity 1)  8 Dy 2.94
Ru: 0.0000 0.0000 0.5000 (multiplicity 1)  8 Dy 2.98
Ru: 0.5000 0.5000 0.0000 (multiplicity 1)  8 Dy 2.94
Pt: 0.5000 0.5000 0.5000 (multiplicity 1)  8 Dy 2.98

Entry 15:
Compound: SrTlHg2
Source: Alexandria via LeMat-Bulk
Functional: GGA-PBE
Structure: relaxed

## Properties
VASP energy	-16.73	eV for the cell shown
formation energy from the elements	-0.2312	eV per atom

Cell lengths 4.2499, 4.2499, 25.3825 Å; angles 90.00, 90.00, 120.00 degrees
With the nearest neighbours (Å) after each atom.
Space group R3m (No. 160, hexagonal axes)
Symmetry-distinct sites (fractional):
Sr: 0.0000 0.0000 0.0000 (multiplicity 3)  6 Hg 3.32-3.33
Tl: 0.0000 0.0000 0.1673 (multiplicity 3)  6 Hg 3.14-3.18
Hg: 0.0000 0.0000 0.4212 (multiplicity 3)  3 Tl 3.18, 3 Sr 3.32
Hg: 0.0000 0.0000 0.5781 (multiplicity 3)  3 Tl 3.14, 3 Sr 3.33

Entry 16:
Compound: CaCoSi4
Source: Alexandria via LeMat-Bulk
Functional: GGA-PBE
Structure: relaxed

## Properties
VASP energy	-117.02	eV for the cell shown

Cell lengths 7.2754, 7.2754, 7.2754 Å; angles 90.00, 90.00, 90.00 degrees
With the nearest neighbours (Å) after each atom.
Space group F-43m (No. 216)
Symmetry-distinct sites (fractional):
Ca: 0.0000 0.0000 0.0000 (multiplicity 4)  12 Si 3.02, 4 Co 3.15
Co: 0.2500 0.2500 0.7500 (multiplicity 4)  12 Si 3.01, 4 Ca 3.15
Si: 0.1232 0.1232 0.3768 (multiplicity 16)  6 Si 2.53-2.61

Entry 17:
Compound: LiTlH2Br
Source: Alexandria via LeMat-Bulk
Functional: GGA-PBE
Structure: relaxed

## Properties
VASP energy	-28.23	eV for the cell shown

Cell lengths 3.7430, 3.8458, 12.8873 Å; angles 90.00, 90.00, 90.00 degrees
With the nearest neighbours (Å) after each atom.
Space group Imm2 (No. 44)
Symmetry-distinct sites (fractional):
Li: 0.0000 0.0000 0.0000 (multiplicity 2)  1 H 1.92
Tl: 0.0000 0.5000 0.2688 (multiplicity 2)  4 H 1.96-2.15
H: 0.0000 0.0000 0.2411 (multiplicity 2)  2 Tl 1.96
H: 0.0000 0.0000 0.8513 (multiplicity 2)  1 Li 1.92
Br: 0.0000 0.0000 0.5299 (multiplicity 2)  4 Li 2.71

Entry 18:
Compound: KIrRh3
Source: Alexandria via LeMat-Bulk
Functional: GGA-PBE
Structure: relaxed

## Properties
VASP energy	-27.11	eV for the cell shown
formation energy from the elements	0.9798	eV per atom

Cell lengths 4.8301, 4.8301, 4.8301 Å; angles 90.00, 90.00, 90.00 degrees
With the nearest neighbours (Å) after each atom.
Space group Pm-3m (No. 221)
Symmetry-distinct sites (fractional):
K: 0.0000 0.0000 0.0000 (multiplicity 1)  12 Rh 3.42
Ir: 0.5000 0.5000 0.5000 (multiplicity 1)  6 Rh 2.42
Rh: 0.0000 0.5000 0.5000 (multiplicity 3)  2 Ir 2.42

Entry 19:
Compound: Pm2SnO2
Source: Alexandria via LeMat-Bulk
Functional: GGA-PBE
Structure: relaxed

## Properties
VASP energy	-71.65	eV for the cell shown

Cell lengths 3.9388, 3.9388, 14.3925 Å; angles 90.00, 90.00, 90.00 degrees
With the nearest neighbours (Å) after each atom.
Space group I4/mmm (No. 139)
Symmetry-distinct sites (fractional):
Pm: 0.0000 0.0000 0.1673 (multiplicity 4)  4 O 2.30
Sn: 0.0000 0.0000 0.5000 (multiplicity 2)  8 Pm 3.68, 4 Sn 3.94, 8 O 4.10
O: 0.0000 0.5000 0.2500 (multiplicity 4)  4 Pm 2.30

Entry 20:
Compound: Sr2TcGeSe
Source: Alexandria via LeMat-Bulk
Functional: GGA-PBE
Structure: relaxed

## Properties
VASP energy	-19.61	eV for the cell shown

Cell lengths 5.7439, 5.7439, 5.2652 Å; angles 90.00, 90.00, 90.00 degrees
With the nearest neighbours (Å) after each atom.
Space group P4/mmm (No. 123)
Symmetry-distinct sites (fractional):
Sr: 0.0000 0.5000 0.0000 (multiplicity 2)  2 Se 2.87
Tc: 0.0000 0.0000 0.5000 (multiplicity 1)  8 Sr 3.90, 4 Ge 4.06
Ge: 0.5000 0.5000 0.5000 (multiplicity 1)  2 Se 2.63
Se: 0.5000 0.5000 0.0000 (multiplicity 1)  2 Ge 2.63, 4 Sr 2.87